The following is a GGA-PBE calculation of crystalline BeIr2Se at its relaxed geometry, from Alexandria.

The energy above the most stable polymorph in this dataset is 0.202 eV per atom. As for the final energy: -6.00 eV/atom. Its energy relative to the elements, uncorrected is 237 meV/atom.

The structure belongs to space group I4/mmm (No. 139); the cell edges are 4.045, 4.045 and 6.721 Å and the angles 90.00°, 90.00° and 90.00°. Symmetry generates all atoms from Be at (0.000, 0.000, 0.000), Ir at (0.000, 0.500, 0.250) and Se at (0.000, 0.000, 0.500).

The following is a GGA-PBE calculation of crystalline MgTl at its relaxed geometry, from Alexandria.

The calculated formation energy comes out at 0.0523 eV per atom. As for the final energy: -1.93 eV/atom.

The structure belongs to space group Pmn2_1 (No. 31); the cell edges are 13.134, 3.356 and 7.439 Å and the angles 90.00°, 90.00° and 90.00°. Symmetry generates all atoms from Mg at (0.000, 0.007, 0.000), Mg at (0.117, 0.502, 0.295), Tl at (0.000, 0.994, 0.609) and Tl at (0.230, 0.999, 0.997).

The following is a GGA-PBE calculation of crystalline Cs2KNp3S8 at its relaxed geometry, from Alexandria.

As for the final energy: -6.59 eV/atom. Its energy relative to the elements, uncorrected is -1260 meV/atom.

The structure belongs to space group R3m (No. 160, hexagonal axes); the cell edges are 8.1930, 8.1930 and 24.5772 Å and the angles 90.00°, 90.00° and 120.00°. Symmetry generates all atoms from Cs at (0.0000, 0.0000, 0.0000), Cs at (0.0000, 0.0000, 0.3623), K at (0.0000, 0.0000, 0.7413), Np at (0.1671, 0.3342, 0.1962), S at (0.0000, 0.0000, 0.1398), S at (0.0000, 0.0000, 0.5886), S at (0.0349, 0.5174, 0.1397) and S at (0.1844, 0.3689, 0.9179).

The following is a GGA-PBE calculation of crystalline Cr3HgAs at its relaxed geometry, from Alexandria.

The calculated formation energy comes out at 1.0803 eV per atom. The energy above the most stable polymorph in this dataset is 0.000 eV per atom. As for the final energy: -5.68 eV/atom.

The structure belongs to space group Pm-3m (No. 221); the cell edges are 4.413, 4.413 and 4.413 Å and the angles 90.00°, 90.00° and 90.00°. Symmetry generates all atoms from Cr at (0.000, 0.000, 0.500), Hg at (0.500, 0.500, 0.500) and As at (0.000, 0.000, 0.000).